(1)
DFT (PBE) results for a relaxed structure of CeSmBr.

Calculated values
- calculated density (g/cm³) = 6.95
- space group = C2/m
- E (eV/atom) = -4.68
- E_form (uncorrected) (meV/atom) = -572
- DOS at the Fermi energy (states/eV/atom) = 1.648

abc: 14.1450 3.6232 6.9021
angles: 90.00 90.49 90.00
Fractional coordinates of all 12 atoms:
Ce (0.1940, 0.0000, 0.0768)
Ce (0.3060, 0.5000, 0.9232)
Ce (0.6940, 0.5000, 0.0768)
Ce (0.8060, 0.0000, 0.9232)
Sm (0.1470, 0.0000, 0.5975)
Sm (0.3530, 0.5000, 0.4025)
Sm (0.6470, 0.5000, 0.5975)
Sm (0.8530, 0.0000, 0.4025)
Br (0.0395, 0.5000, 0.2622)
Br (0.4605, 0.0000, 0.7378)
Br (0.5395, 0.0000, 0.2622)
Br (0.9605, 0.5000, 0.7378)

---

(2)
DFT (PBE) results for a relaxed structure of CeSmBr.

Calculated values
- calculated density (g/cm³) = 6.73
- space group = P3m1
- E (eV/atom) = -4.74
- E_form (uncorrected) (meV/atom) = -635
- DOS at the Fermi energy (states/eV/atom) = 2.262

abc: 3.7015 3.7015 7.7031
angles: 90.00 90.00 120.00
Fractional coordinates of all 3 atoms:
Ce (0.0000, 0.0000, 0.0000)
Sm (0.6667, 0.3333, 0.3749)
Br (0.3333, 0.6667, 0.6765)

---

(3)
DFT (PBE) results for a relaxed structure of Ce2SmBr6.

Calculated values
- calculated density (g/cm³) = 4.75
- space group = C2/m
- E (eV/atom) = -4.58
- E_form (uncorrected) (meV/atom) = -1621
- DOS at the Fermi energy (states/eV/atom) = 1.491

abc: 8.3267 8.3267 10.8008
angles: 113.19 113.19 27.71
Fractional coordinates of all 9 atoms:
Ce (0.1749, 0.1749, 0.3459)
Ce (0.8251, 0.8251, 0.6541)
Sm (0.5000, 0.5000, 0.0000)
Br (0.1435, 0.1435, 0.0474)
Br (0.1797, 0.1797, 0.6266)
Br (0.4785, 0.4785, 0.7176)
Br (0.5215, 0.5215, 0.2824)
Br (0.8203, 0.8203, 0.3734)
Br (0.8565, 0.8565, 0.9526)

---

(4)
DFT (PBE) results for a relaxed structure of CeSmBr4.

Calculated values
- calculated density (g/cm³) = 4.87
- space group = C2/m
- E (eV/atom) = -4.51
- E_form (uncorrected) (meV/atom) = -1621
- DOS at the Fermi energy (states/eV/atom) = 1.304

abc: 16.4292 3.9737 6.9955
angles: 90.00 114.46 90.00
Fractional coordinates of all 12 atoms:
Ce (0.0000, 0.0000, 0.0000)
Ce (0.5000, 0.5000, 0.0000)
Sm (0.0000, 0.5000, 0.5000)
Sm (0.5000, 0.0000, 0.5000)
Br (0.1243, 0.0000, 0.4579)
Br (0.1264, 0.5000, 0.9468)
Br (0.3736, 0.0000, 0.0532)
Br (0.3757, 0.5000, 0.5421)
Br (0.6243, 0.5000, 0.4579)
Br (0.6264, 0.0000, 0.9468)
Br (0.8736, 0.5000, 0.0532)
Br (0.8757, 0.0000, 0.5421)

---

(5)
DFT (PBE) results for a relaxed structure of CeSmBr4.

Calculated values
- calculated density (g/cm³) = 5.25
- space group = Imma
- E (eV/atom) = -4.50
- E_form (uncorrected) (meV/atom) = -1607
- DOS at the Fermi energy (states/eV/atom) = 1.473

abc: 8.1719 8.1719 8.1719
angles: 120.21 119.87 89.92
Fractional coordinates of all 12 atoms:
Ce (0.0000, 0.0000, 0.0000)
Ce (0.5000, 0.0000, 0.5000)
Sm (0.5000, 0.0000, 0.0000)
Sm (0.5000, 0.5000, 0.5000)
Br (0.2268, 0.7394, 0.4874)
Br (0.2451, 0.2658, 0.5207)
Br (0.2451, 0.7244, 0.9793)
Br (0.2480, 0.2606, 0.9874)
Br (0.7520, 0.7394, 0.0126)
Br (0.7549, 0.2756, 0.0207)
Br (0.7549, 0.7342, 0.4793)
Br (0.7732, 0.2606, 0.5126)

---

(6)
DFT (PBE) results for a relaxed structure of CeSmBr2.

Calculated values
- calculated density (g/cm³) = 6.02
- space group = R-3m
- E (eV/atom) = -4.53
- E_form (uncorrected) (meV/atom) = -1030
- DOS at the Fermi energy (states/eV/atom) = 1.721

abc: 3.7482 3.7482 30.6161
angles: 90.00 90.00 120.00
Fractional coordinates of all 12 atoms:
Ce (0.0000, 0.0000, 0.0000)
Ce (0.3333, 0.6667, 0.6667)
Ce (0.6667, 0.3333, 0.3333)
Sm (0.0000, 0.0000, 0.5000)
Sm (0.3333, 0.6667, 0.1667)
Sm (0.6667, 0.3333, 0.8333)
Br (0.0000, 0.0000, 0.4039)
Br (0.0000, 0.0000, 0.5961)
Br (0.3333, 0.6667, 0.0706)
Br (0.3333, 0.6667, 0.2627)
Br (0.6667, 0.3333, 0.7373)
Br (0.6667, 0.3333, 0.9294)

---

DOS at the Fermi energy of number 1 (CeSmBr)? 1.648 states/eV/atom

---

Which of these has the highest DOS at the Fermi energy? number 2